This record from OQMD describes a relaxed structure of LaPrAg2. The functional is PBE.

Computed properties:
Total magnetization ... 0.0 μB/cell
V ... 222 Å³/cell
Calculated formation energy ... -6.173 kcal/mol of atoms
Theoretical density ... 7401 kg/m3

Lattice parameters (Å, degrees): 4.922 7.551 5.983 90.00 90.00 90.00
Sites, in units of the cell vectors:
La  0.000  0.072  0.000
La  0.500  0.928  0.500
Pr  0.000  0.570  0.773
Pr  0.500  0.430  0.273
Ag  0.000  0.215  0.499
Ag  0.000  0.708  0.272
Ag  0.500  0.292  0.772
Ag  0.500  0.785  0.999